# 1
VASP calculation (SCAN) on BaTl3Si at its PBEsol-relaxed geometry. Values from VASP.

Results
- Crystal system: cubic
- Formation energy without anion corrections: 0.007 eV per atom

Structure (Quantum ESPRESSO input):
```
&SYSTEM
  ibrav = 0, nat = 5, ntyp = 3
/
ATOMIC_SPECIES
Si 28.09 Si.upf
Tl 204.38 Tl.upf
Ba 137.33 Ba.upf
ATOMIC_POSITIONS crystal
Si 0.000 0.000 0.000
Tl 0.000 0.500 0.000
Tl 0.500 0.000 0.000
Tl 0.000 0.000 0.500
Ba 0.500 0.500 0.500
CELL_PARAMETERS angstrom
-3.003 -4.457 0.245
3.800 -2.398 2.959
-2.342 1.825 4.487
```

# 2
VASP calculation (SCAN) on BaTlSi2 at its PBEsol-relaxed geometry. Values from VASP.

Results
- Crystal system: tetragonal
- Formation energy without anion corrections: 0.085 eV per atom
- E above lowest polymorph: 225 meV/atom

Structure (Quantum ESPRESSO input):
```
&SYSTEM
  ibrav = 0, nat = 4, ntyp = 3
/
ATOMIC_SPECIES
Tl 204.38 Tl.upf
Si 28.09 Si.upf
Ba 137.33 Ba.upf
ATOMIC_POSITIONS crystal
Tl 0.500 0.500 0.000
Si 0.000 0.000 0.828
Si 0.000 0.000 0.172
Ba 0.500 0.500 0.500
CELL_PARAMETERS angstrom
3.886 0.000 0.000
0.000 3.886 0.000
0.000 0.000 6.834
```

# 3
VASP calculation (SCAN) on Ba2TlSi at its PBEsol-relaxed geometry. Values from VASP.

Results
- Crystal system: monoclinic
- Formation energy without anion corrections: -0.106 eV per atom

Structure (Quantum ESPRESSO input):
```
&SYSTEM
  ibrav = 0, nat = 4, ntyp = 3
/
ATOMIC_SPECIES
Ba 137.33 Ba.upf
Si 28.09 Si.upf
Tl 204.38 Tl.upf
ATOMIC_POSITIONS crystal
Ba 0.737 0.475 0.714
Ba 0.263 0.525 0.286
Si 0.000 0.000 0.500
Tl 0.500 0.000 0.000
CELL_PARAMETERS angstrom
-0.205 -3.126 -2.106
3.087 3.175 -1.630
5.494 -4.529 6.189
```

# 4
VASP calculation (SCAN) on Ba2SiW at its PBEsol-relaxed geometry. Values from VASP.

Results
- Crystal system: tetragonal
- Formation energy without anion corrections: 1.109 eV per atom

Structure (Quantum ESPRESSO input):
```
&SYSTEM
  ibrav = 0, nat = 4, ntyp = 3
/
ATOMIC_SPECIES
W 183.84 W.upf
Ba 137.33 Ba.upf
Si 28.09 Si.upf
ATOMIC_POSITIONS crystal
W 0.500 0.500 0.500
Ba 0.000 0.000 0.242
Ba 0.000 0.000 0.758
Si 0.500 0.500 0.000
CELL_PARAMETERS angstrom
-1.451 0.271 2.786
0.011 -3.138 0.311
9.233 0.505 4.758
```

# 5
VASP calculation (SCAN) on BaYSi2 at its PBEsol-relaxed geometry. Values from VASP.

Results
- Crystal system: tetragonal
- Formation energy without anion corrections: -0.510 eV per atom
- E above lowest polymorph: 0 meV/atom

Structure (Quantum ESPRESSO input):
```
&SYSTEM
  ibrav = 0, nat = 4, ntyp = 3
/
ATOMIC_SPECIES
Si 28.09 Si.upf
Y 88.91 Y.upf
Ba 137.33 Ba.upf
ATOMIC_POSITIONS crystal
Si 0.000 0.000 0.173
Si 0.000 0.000 0.827
Y 0.500 0.500 0.000
Ba 0.500 0.500 0.500
CELL_PARAMETERS angstrom
3.839 0.000 0.000
0.000 3.839 0.000
0.000 0.000 6.901
```

# 6
VASP calculation (SCAN) on BaYSi2 at its PBEsol-relaxed geometry. Values from VASP.

Results
- Crystal system: tetragonal
- Formation energy without anion corrections: -0.124 eV per atom
- E above lowest polymorph: 386 meV/atom

Structure (Quantum ESPRESSO input):
```
&SYSTEM
  ibrav = 0, nat = 4, ntyp = 3
/
ATOMIC_SPECIES
Y 88.91 Y.upf
Ba 137.33 Ba.upf
Si 28.09 Si.upf
ATOMIC_POSITIONS crystal
Y 0.000 0.000 0.000
Ba 0.500 0.000 0.500
Si 0.750 0.500 0.750
Si 0.250 0.500 0.250
CELL_PARAMETERS angstrom
4.936 0.000 0.000
-2.468 4.761 0.003
0.000 2.556 4.223
```

# 7
VASP calculation (SCAN) on BaYSi2 at its PBEsol-relaxed geometry. Values from VASP.

Results
- Crystal system: monoclinic
- Formation energy without anion corrections: -0.402 eV per atom
- E above lowest polymorph: 108 meV/atom

Structure (Quantum ESPRESSO input):
```
&SYSTEM
  ibrav = 0, nat = 4, ntyp = 3
/
ATOMIC_SPECIES
Si 28.09 Si.upf
Ba 137.33 Ba.upf
Y 88.91 Y.upf
ATOMIC_POSITIONS crystal
Si 0.761 0.522 0.892
Si 0.239 0.478 0.108
Ba 0.000 0.000 0.500
Y 0.500 0.000 0.000
CELL_PARAMETERS angstrom
-2.437 -3.099 -0.330
3.566 0.124 -3.792
2.438 -2.495 5.428
```

# 8
VASP calculation (SCAN) on Ba3YSi at its PBEsol-relaxed geometry. Values from VASP.

Results
- Crystal system: cubic
- Formation energy without anion corrections: 1.007 eV per atom

Structure (Quantum ESPRESSO input):
```
&SYSTEM
  ibrav = 0, nat = 5, ntyp = 3
/
ATOMIC_SPECIES
Ba 137.33 Ba.upf
Y 88.91 Y.upf
Si 28.09 Si.upf
ATOMIC_POSITIONS crystal
Ba 0.500 0.000 0.000
Ba 0.000 0.000 0.500
Ba 0.000 0.500 0.000
Y 0.000 0.000 0.000
Si 0.500 0.500 0.500
CELL_PARAMETERS angstrom
-1.392 3.233 4.989
0.485 -5.046 3.405
5.925 1.173 0.894
```

# 9
VASP calculation (SCAN) on BaYSi2 at its PBEsol-relaxed geometry. Values from VASP.

Results
- Crystal system: orthorhombic
- Formation energy without anion corrections: -0.441 eV per atom
- E above lowest polymorph: 68 meV/atom

Structure (Quantum ESPRESSO input):
```
&SYSTEM
  ibrav = 0, nat = 4, ntyp = 3
/
ATOMIC_SPECIES
Si 28.09 Si.upf
Ba 137.33 Ba.upf
Y 88.91 Y.upf
ATOMIC_POSITIONS crystal
Si 0.040 0.040 0.080
Si 0.666 0.166 0.332
Ba 0.279 0.779 0.559
Y 0.515 0.515 0.030
CELL_PARAMETERS angstrom
-2.430 -0.456 -2.903
-0.312 -4.390 0.950
-3.335 3.571 4.735
```

# 10
VASP calculation (SCAN) on BaZnSi at its PBEsol-relaxed geometry. Values from VASP.

Results
- Crystal system: hexagonal
- Formation energy without anion corrections: -0.414 eV per atom

Structure (Quantum ESPRESSO input):
```
&SYSTEM
  ibrav = 0, nat = 12, ntyp = 3
/
ATOMIC_SPECIES
Si 28.09 Si.upf
Ba 137.33 Ba.upf
Zn 65.41 Zn.upf
ATOMIC_POSITIONS crystal
Si 0.667 0.333 0.125
Si 0.667 0.333 0.375
Si 0.333 0.667 0.625
Si 0.333 0.667 0.875
Ba 0.000 0.000 0.500
Ba 0.000 0.000 0.000
Ba 0.000 0.000 0.250
Ba 0.000 0.000 0.750
Zn 0.333 0.667 0.376
Zn 0.667 0.333 0.624
Zn 0.333 0.667 0.124
Zn 0.667 0.333 0.876
CELL_PARAMETERS angstrom
4.298 0.000 0.000
-2.149 3.722 0.000
0.000 0.000 19.476
```

# 11
VASP calculation (SCAN) on Ba3ZnSi at its PBEsol-relaxed geometry. Values from VASP.

Results
- Crystal system: cubic
- Formation energy without anion corrections: 0.108 eV per atom
- E above lowest polymorph: 0 meV/atom

Structure (Quantum ESPRESSO input):
```
&SYSTEM
  ibrav = 0, nat = 5, ntyp = 3
/
ATOMIC_SPECIES
Zn 65.41 Zn.upf
Ba 137.33 Ba.upf
Si 28.09 Si.upf
ATOMIC_POSITIONS crystal
Zn 0.500 0.500 0.500
Ba 0.000 0.500 0.000
Ba 0.500 0.000 0.000
Ba 0.000 0.000 0.500
Si 0.000 0.000 0.000
CELL_PARAMETERS angstrom
6.304 0.000 0.000
0.000 6.304 0.000
0.000 0.000 6.304
```

# 12
VASP calculation (SCAN) on Ba2ZnSi at its PBEsol-relaxed geometry. Values from VASP.

Results
- Crystal system: orthorhombic
- Formation energy without anion corrections: -0.263 eV per atom
- E above lowest polymorph: 34 meV/atom

Structure (Quantum ESPRESSO input):
```
&SYSTEM
  ibrav = 0, nat = 4, ntyp = 3
/
ATOMIC_SPECIES
Ba 137.33 Ba.upf
Zn 65.41 Zn.upf
Si 28.09 Si.upf
ATOMIC_POSITIONS crystal
Ba 0.782 0.782 0.564
Ba 0.973 0.473 0.946
Zn 0.185 0.185 0.371
Si 0.560 0.060 0.119
CELL_PARAMETERS angstrom
-1.559 3.490 1.563
-4.964 -2.251 0.072
4.119 -2.358 3.917
```

# 13
VASP calculation (SCAN) on Ba2ZnSi at its PBEsol-relaxed geometry. Values from VASP.

Results
- Crystal system: orthorhombic
- Formation energy without anion corrections: -0.297 eV per atom
- E above lowest polymorph: 0 meV/atom

Structure (Quantum ESPRESSO input):
```
&SYSTEM
  ibrav = 0, nat = 4, ntyp = 3
/
ATOMIC_SPECIES
Zn 65.41 Zn.upf
Ba 137.33 Ba.upf
Si 28.09 Si.upf
ATOMIC_POSITIONS crystal
Zn 0.500 0.701 0.401
Ba 0.500 0.391 0.783
Ba 0.000 0.104 0.207
Si 0.000 0.805 0.610
CELL_PARAMETERS angstrom
4.390 0.000 0.000
0.000 4.876 0.000
0.000 -2.438 5.972
```

# 14
VASP calculation (SCAN) on Ba2ZnSi at its PBEsol-relaxed geometry. Values from VASP.

Results
- Crystal system: cubic
- Formation energy without anion corrections: -0.237 eV per atom
- E above lowest polymorph: 60 meV/atom

Structure (Quantum ESPRESSO input):
```
&SYSTEM
  ibrav = 0, nat = 4, ntyp = 3
/
ATOMIC_SPECIES
Ba 137.33 Ba.upf
Si 28.09 Si.upf
Zn 65.41 Zn.upf
ATOMIC_POSITIONS crystal
Ba 0.250 0.250 0.250
Ba 0.750 0.750 0.750
Si 0.000 0.000 0.000
Zn 0.500 0.500 0.500
CELL_PARAMETERS angstrom
-0.229 3.491 -4.394
-0.312 -2.064 -5.214
-4.758 0.505 -2.940
```

# 15
VASP calculation (SCAN) on Ba4ZnSi at its PBEsol-relaxed geometry. Values from VASP.

Results
- Crystal system: cubic
- Formation energy without anion corrections: 0.642 eV per atom

Structure (Quantum ESPRESSO input):
```
&SYSTEM
  ibrav = 0, nat = 6, ntyp = 3
/
ATOMIC_SPECIES
Ba 137.33 Ba.upf
Zn 65.41 Zn.upf
Si 28.09 Si.upf
ATOMIC_POSITIONS crystal
Ba 0.376 0.376 0.376
Ba 0.376 0.872 0.376
Ba 0.872 0.376 0.376
Ba 0.376 0.376 0.872
Zn 0.000 0.000 0.000
Si 0.750 0.750 0.750
CELL_PARAMETERS angstrom
6.885 0.000 0.000
3.442 5.962 0.000
3.442 1.987 5.621
```

# 16
VASP calculation (SCAN) on Ba2ZrSi at its PBEsol-relaxed geometry. Values from VASP.

Results
- Crystal system: tetragonal
- Formation energy without anion corrections: 0.489 eV per atom

Structure (Quantum ESPRESSO input):
```
&SYSTEM
  ibrav = 0, nat = 4, ntyp = 3
/
ATOMIC_SPECIES
Si 28.09 Si.upf
Zr 91.22 Zr.upf
Ba 137.33 Ba.upf
ATOMIC_POSITIONS crystal
Si 0.500 0.500 0.000
Zr 0.250 0.750 0.500
Ba 0.000 0.000 0.000
Ba 0.750 0.250 0.500
CELL_PARAMETERS angstrom
-1.017 -2.869 -3.823
2.590 -3.616 2.024
-4.642 1.702 3.081
```

# 17
VASP calculation (SCAN) on BaZrSi2 at its PBEsol-relaxed geometry. Values from VASP.

Results
- Crystal system: orthorhombic
- Formation energy without anion corrections: 0.131 eV per atom
- E above lowest polymorph: 531 meV/atom

Structure (Quantum ESPRESSO input):
```
&SYSTEM
  ibrav = 0, nat = 4, ntyp = 3
/
ATOMIC_SPECIES
Ba 137.33 Ba.upf
Si 28.09 Si.upf
Zr 91.22 Zr.upf
ATOMIC_POSITIONS crystal
Ba 0.500 0.000 0.000
Si 0.000 0.500 0.000
Si 0.000 0.000 0.500
Zr 0.500 0.500 0.500
CELL_PARAMETERS angstrom
-2.745 -0.125 1.163
0.055 -5.424 -0.446
2.130 -0.371 4.994
```

# 18
VASP calculation (SCAN) on BaZrSi2 at its PBEsol-relaxed geometry. Values from VASP.

Results
- Crystal system: orthorhombic
- Formation energy without anion corrections: -0.379 eV per atom
- E above lowest polymorph: 21 meV/atom

Structure (Quantum ESPRESSO input):
```
&SYSTEM
  ibrav = 0, nat = 4, ntyp = 3
/
ATOMIC_SPECIES
Zr 91.22 Zr.upf
Si 28.09 Si.upf
Ba 137.33 Ba.upf
ATOMIC_POSITIONS crystal
Zr 0.000 0.147 0.295
Si 0.500 0.665 0.329
Si 0.000 0.785 0.571
Ba 0.500 0.416 0.832
CELL_PARAMETERS angstrom
-3.670 -0.152 0.598
0.665 -0.699 3.907
-0.410 6.868 -0.775
```

# 19
VASP calculation (SCAN) on BaZrSi2 at its PBEsol-relaxed geometry. Values from VASP.

Results
- Crystal system: cubic
- Formation energy without anion corrections: 0.616 eV per atom
- E above lowest polymorph: 1016 meV/atom

Structure (Quantum ESPRESSO input):
```
&SYSTEM
  ibrav = 0, nat = 4, ntyp = 3
/
ATOMIC_SPECIES
Ba 137.33 Ba.upf
Zr 91.22 Zr.upf
Si 28.09 Si.upf
ATOMIC_POSITIONS crystal
Ba 0.500 0.500 0.500
Zr 0.250 0.250 0.250
Si 0.000 0.000 0.000
Si 0.750 0.750 0.750
CELL_PARAMETERS angstrom
-4.221 0.968 -2.361
-2.457 -3.637 -2.250
-4.284 -1.595 1.852
```

# 20
VASP calculation (SCAN) on BaZr2Si at its PBEsol-relaxed geometry. Values from VASP.

Results
- Crystal system: monoclinic
- Formation energy without anion corrections: 0.458 eV per atom

Structure (Quantum ESPRESSO input):
```
&SYSTEM
  ibrav = 0, nat = 4, ntyp = 3
/
ATOMIC_SPECIES
Ba 137.33 Ba.upf
Zr 91.22 Zr.upf
Si 28.09 Si.upf
ATOMIC_POSITIONS crystal
Ba 0.000 0.500 0.000
Zr 0.500 0.500 0.500
Zr 0.000 0.000 0.500
Si 0.500 0.000 0.000
CELL_PARAMETERS angstrom
-2.602 1.618 -0.896
-1.312 -4.325 -3.490
-0.746 -0.890 5.989
```